[1]
This record from the Alexandria database describes a geometry-optimized Li2NbTcAu structure. The functional is GGA-PBE.

## Properties
- DFT formation energy (eV/atom) = 1.249

Unit cell a=4.861 b=4.861 c=4.492 alpha=90.00 beta=90.00 gamma=90.00
Space group P4/mmm (No. 123)
Asymmetric unit:
Li1 0.000 0.500 0.000
Nb1 0.000 0.000 0.000
Tc1 0.000 0.000 0.500
Au1 0.500 0.500 0.500


[2]
This record from the Alexandria database describes a geometry-optimized MoIr2Br structure. The functional is GGA-PBE.

## Properties
- raw formation energy (kJ per mole of atoms) = 85
- E above lowest polymorph (meV/atom) = 528

Unit cell a=4.061 b=4.061 c=7.803 alpha=90.00 beta=90.00 gamma=90.00
Space group I4/mmm (No. 139)
Asymmetric unit:
Mo1 0.000 0.000 0.000
Ir1 0.000 0.500 0.250
Br1 0.000 0.000 0.500


[3]
This record from the Alexandria database describes a geometry-optimized LuThCoPt structure. The functional is GGA-PBE.

## Properties
- DFT formation energy (eV/atom) = -0.637

Unit cell a=6.951 b=6.951 c=6.951 alpha=90.00 beta=90.00 gamma=90.00
Space group F-43m (No. 216)
Asymmetric unit:
Lu1 0.000 0.000 0.000
Th1 0.000 0.000 0.500
Co1 0.250 0.250 0.250
Pt1 0.250 0.250 0.750


[4]
This record from the Alexandria database describes a geometry-optimized ZrTeP2 structure. The functional is GGA-PBE.

## Properties
- raw formation energy (kJ per mole of atoms) = -36
- E above lowest polymorph (meV/atom) = 218

Unit cell a=9.178 b=3.529 c=5.325 alpha=90.00 beta=90.76 gamma=90.00
Space group C2/m (No. 12)
Asymmetric unit:
Zr1 0.000 0.000 0.000
Te1 0.000 0.500 0.500
P1 0.215 0.500 0.140


[5]
This record from the Alexandria database describes a geometry-optimized HgBi4Au4 structure. The functional is GGA-PBE.

## Properties
- DFT formation energy (eV/atom) = 0.050

Unit cell a=7.333 b=7.333 c=9.610 alpha=90.00 beta=90.00 gamma=90.00
Space group P4_2/nmc (No. 137, origin choice 2)
Asymmetric unit:
Hg1 0.250 0.750 0.250
Bi1 0.003 0.750 0.596
Au1 0.061 0.250 0.109


[6]
This record from the Alexandria database describes a geometry-optimized Y2FeCl structure. The functional is GGA-PBE.

## Properties
- raw formation energy (kJ per mole of atoms) = -10
- E above lowest polymorph (meV/atom) = 536

Unit cell a=6.056 b=6.056 c=12.217 alpha=90.00 beta=90.00 gamma=90.00
Space group I-42d (No. 122)
Asymmetric unit:
Y1 0.203 0.250 0.125
Fe1 0.000 0.000 0.000
Cl1 0.000 0.000 0.500


Magnetic moment (μB/atom)
0.0000, 0.0000, 0.0720, 0.0000, 0.0000, 0.0000